GaSbI2N after structural relaxation. Source: the Alexandria database, functional PBE-GGA.

Summary:
For the total energy, the calculation gives -15.75 eV/cell. As for the formation energy without anion corrections: 0.566 eV/atom.

Cell lengths 6.0082, 6.0082, 3.5988 Å; angles 90.00, 90.00, 90.00 degrees
Space group P4/mmm (No. 123)
Unique sites:
Ga 0.0000 0.0000 0.0000 [1 per cell]
Sb 0.5000 0.5000 0.5000 [1 per cell]
I 0.0000 0.5000 0.0000 [2 per cell]
N 0.0000 0.0000 0.5000 [1 per cell]